Compound: MnWO4
Source: Alexandria
Functional: PBE with a Hubbard U
Structure: relaxed

```
6
Lattice="-2.124 3.175 0.688 -2.674 -1.242 -2.525 -0.261 -3.642 5.052" Properties=species:S:1:pos:R:3 pbc="T T T"
O -3.939 -3.239 2.782
W -2.399 0.966 -0.918
Mn -2.667 -1.959 0.805
O -3.315 0.045 0.505
O -1.744 -1.754 2.710
O -1.395 -0.679 -1.173
```

Results
* crystal system: tetragonal
* E_tot: -7.66 eV/atom